! InPb2NO, relaxed, DFT PBE; values from VASP
&SYSTEM
  ibrav = 0, nat = 5, ntyp = 4
/
ATOMIC_SPECIES
In 114.82 In.upf
N 14.01 N.upf
Pb 207.20 Pb.upf
O 16.00 O.upf
CELL_PARAMETERS angstrom
-2.339 4.203 -1.462
-2.394 -2.358 -2.951
-3.544 -0.761 3.484
ATOMIC_POSITIONS crystal
In 0.000 0.500 0.000
N 0.500 0.500 0.500
Pb 0.500 0.000 0.000
O 0.000 0.000 0.000
Pb 0.000 0.000 0.500
! Final energy ... -4.080 eV/atom
! D(E_F) ... 1.28 states/eV/f.u.
! Space-group type ... P4/mmm
! Raw formation energy ... 0.607 eV per atom